Entry a
DFT (PBE) results for crystalline Tl2RhBr2 at its relaxed geometry.

The space group is I4/mmm (No. 139) and the conventional cell measures 4.2097, 4.2097 and 17.2317 Å, with angles of 90.00, 90.00 and 90.00 degrees. The inequivalent atoms are Tl at (0.0000, 0.5000, 0.2500), Rh at (0.0000, 0.0000, 0.0000) and Br at (0.0000, 0.0000, 0.4063).


Entry b
DFT (PBE) results for crystalline Tl2RhBr2 at its relaxed geometry.

The space group is P4/mbm (No. 127) and the conventional cell measures 6.9745, 6.9745 and 5.6561 Å, with angles of 90.00, 90.00 and 90.00 degrees. The inequivalent atoms are Tl at (0.1787, 0.3213, 0.0000), Rh at (0.0000, 0.0000, 0.5000) and Br at (0.1751, 0.6751, 0.5000).


What are the relative energies? In eV/atom: entry a 0.545; entry b 0.000.


Entry a
DFT (PBE) results for crystalline TlRh2Br2 at its relaxed geometry.

The space group is P4/mbm (No. 127) and the conventional cell measures 7.0620, 7.0620 and 4.7802 Å, with angles of 90.00, 90.00 and 90.00 degrees. The inequivalent atoms are Tl at (0.0000, 0.0000, 0.0000), Rh at (0.1252, 0.3748, 0.0000) and Br at (0.1888, 0.3112, 0.5000).


Entry b
DFT (PBE) results for crystalline TlRh2Br2 at its relaxed geometry.

The space group is I4/mmm (No. 139) and the conventional cell measures 5.2075, 5.2075 and 8.2717 Å, with angles of 90.00, 90.00 and 90.00 degrees. The inequivalent atoms are Tl at (0.0000, 0.0000, 0.0000), Rh at (0.0000, 0.0000, 0.3271) and Br at (0.0000, 0.5000, 0.2500).


What are the relative energies? In eV/atom: entry a 0.000; entry b 0.166.


Entry a
DFT (PBE) results for crystalline Tm2RhBr at its relaxed geometry.

The space group is R3m (No. 160, hexagonal axes) and the conventional cell measures 3.9489, 3.9489 and 23.0015 Å, with angles of 90.00, 90.00 and 120.00 degrees. The inequivalent atoms are Tm at (0.0000, 0.0000, 0.0000), Tm at (0.0000, 0.0000, 0.2073), Rh at (0.0000, 0.0000, 0.6045) and Br at (0.0000, 0.0000, 0.7765).


Entry b
DFT (PBE) results for crystalline Tm2RhBr at its relaxed geometry.

The space group is R-3m (No. 166, hexagonal axes) and the conventional cell measures 3.9469, 3.9469 and 22.7740 Å, with angles of 90.00, 90.00 and 120.00 degrees. The inequivalent atoms are Tm at (0.0000, 0.0000, 0.2306), Rh at (0.0000, 0.0000, 0.5000) and Br at (0.0000, 0.0000, 0.0000).


What are the relative energies? In eV/atom: entry a 0.019; entry b 0.000.


Entry a
DFT (PBE) results for crystalline V2RhBr at its relaxed geometry.

The space group is Fm-3m (No. 225) and the conventional cell measures 6.1825, 6.1825 and 6.1825 Å, with angles of 90.00, 90.00 and 90.00 degrees. The inequivalent atoms are V at (0.2500, 0.2500, 0.2500), Rh at (0.0000, 0.0000, 0.0000) and Br at (0.0000, 0.0000, 0.5000).


Entry b
DFT (PBE) results for crystalline V2RhBr at its relaxed geometry.

The space group is I-42d (No. 122) and the conventional cell measures 6.5709, 6.5709 and 6.8693 Å, with angles of 90.00, 90.00 and 90.00 degrees. The inequivalent atoms are V at (0.2337, 0.2500, 0.1250), Rh at (0.0000, 0.0000, 0.0000) and Br at (0.0000, 0.0000, 0.5000).


What are the relative energies? In eV/atom: entry a 0.000; entry b 0.117.


Entry a
DFT (PBE) results for crystalline VRh3Br at its relaxed geometry.

The space group is Pm-3m (No. 221) and the conventional cell measures 4.5697, 4.5697 and 4.5697 Å, with angles of 90.00, 90.00 and 90.00 degrees. The inequivalent atoms are V at (0.0000, 0.0000, 0.0000), Rh at (0.0000, 0.0000, 0.5000) and Br at (0.5000, 0.5000, 0.5000).


Entry b
DFT (PBE) results for crystalline VRh3Br at its relaxed geometry.

The space group is Pm-3m (No. 221) and the conventional cell measures 4.5719, 4.5719 and 4.5719 Å, with angles of 90.00, 90.00 and 90.00 degrees. The inequivalent atoms are V at (0.0000, 0.0000, 0.0000), Rh at (0.0000, 0.5000, 0.5000) and Br at (0.5000, 0.5000, 0.5000).


What are the relative energies? In eV/atom: entry a 0.000; entry b 0.197.


Entry a
DFT (PBE) results for crystalline RhW2Br at its relaxed geometry.

The space group is Cmmm (No. 65) and the conventional cell measures 2.9996, 4.8296 and 9.3534 Å, with angles of 90.00, 90.00 and 90.00 degrees. The inequivalent atoms are Rh at (0.0000, 0.0000, 0.0000), W at (0.0000, 0.5000, 0.2351) and Br at (0.0000, 0.0000, 0.5000).


Entry b
DFT (PBE) results for crystalline RhW2Br at its relaxed geometry.

The space group is P4/mmm (No. 123) and the conventional cell measures 3.0103, 3.0103 and 6.9878 Å, with angles of 90.00, 90.00 and 90.00 degrees. The inequivalent atoms are Rh at (0.0000, 0.0000, 0.0000), W at (0.5000, 0.5000, 0.2480) and Br at (0.0000, 0.0000, 0.5000).


Entry c
DFT (PBE) results for crystalline RhW2Br at its relaxed geometry.

The space group is Immm (No. 71) and the conventional cell measures 3.0167, 4.5209 and 9.5304 Å, with angles of 90.00, 90.00 and 90.00 degrees. The inequivalent atoms are Rh at (0.0000, 0.0000, 0.0000), W at (0.0000, 0.5000, 0.2328) and Br at (0.0000, 0.0000, 0.5000).


What are the relative energies? In eV/atom: entry a 0.077; entry b 0.000; entry c 0.070.


Entry a
DFT (PBE) results for crystalline RhW2Br at its relaxed geometry.

The space group is Cmm2 (No. 35) and the conventional cell measures 3.2953, 4.7935 and 8.7670 Å, with angles of 90.00, 90.00 and 90.00 degrees. The inequivalent atoms are Rh at (0.0000, 0.0000, 0.0000), W at (0.0000, 0.0000, 0.4612), W at (0.0000, 0.5000, 0.2230) and Br at (0.0000, 0.5000, 0.7208).


Entry b
DFT (PBE) results for crystalline RhW2Br at its relaxed geometry.

The space group is P2/m (No. 10) and the conventional cell measures 4.5234, 2.9990 and 4.9675 Å, with angles of 90.00, 100.71 and 90.00 degrees. The inequivalent atoms are Rh at (0.0000, 0.0000, 0.0000), W at (0.0000, 0.5000, 0.5000), W at (0.5000, 0.0000, 0.5000) and Br at (0.5000, 0.5000, 0.0000).


What are the relative energies? In eV/atom: entry a 0.000; entry b 0.364.


Entry a
DFT (PBE) results for crystalline RhW2Br at its relaxed geometry.

The space group is Cmmm (No. 65) and the conventional cell measures 5.2741, 8.6566 and 2.8802 Å, with angles of 90.00, 90.00 and 90.00 degrees. The inequivalent atoms are Rh at (0.0000, 0.0000, 0.0000), W at (0.2500, 0.2500, 0.5000) and Br at (0.0000, 0.5000, 0.0000).


Entry b
DFT (PBE) results for crystalline RhW2Br at its relaxed geometry.

The space group is Pmmm (No. 47) and the conventional cell measures 3.0075, 4.5298 and 4.8531 Å, with angles of 90.00, 90.00 and 90.00 degrees. The inequivalent atoms are Rh at (0.0000, 0.0000, 0.0000), W at (0.0000, 0.5000, 0.5000), W at (0.5000, 0.0000, 0.5000) and Br at (0.5000, 0.5000, 0.0000).


What are the relative energies? In eV/atom: entry a 0.081; entry b 0.000.